DFT (PBE) results for an optimized crystal structure of PrEuGdEr.

Calculated values
**ρ**: 7.4 g/cm3
**Uncorrected energy**: -8.291 eV per atom
**Energy relative to the elements**: 13 kJ per mole of atoms
**Magnetic moment**: 0.135 μB/cell
**Crystal system**: cubic

abc: 5.8130 5.8130 5.8130
angles: 60.00 60.00 60.00
With the nearest neighbours (Å) after each atom.
Atoms (fractional coordinates):
Pr (0.0000, 0.0000, 0.0000)  4 Er 3.56, 4 Eu 3.56
Eu (0.2500, 0.2500, 0.2500)  4 Gd 3.56, 4 Pr 3.56
Gd (0.5000, 0.5000, 0.5000)  4 Er 3.56, 4 Eu 3.56
Er (0.7500, 0.7500, 0.7500)  4 Pr 3.56, 4 Gd 3.56